# KBeOs2

KBeOs2 after structural relaxation (PBE, Alexandria).

The structure in POSCAR format:
```
KBeOs2
1.0
4.006 0.000 0.000
0.000 2.666 -0.040
0.000 1.361 7.245
Os Be K
2 1 1
direct
0.000 0.058 0.103
0.000 0.442 0.397
0.500 0.250 0.250
0.500 0.750 0.750
```

The value obtained for the total energy is -5.801 eV per atom. For the formation energy, the calculation gives 1.020 eV per atom.